[1]
Density functional theory data (GGA-PBE) for crystalline NaTe3Au3 at its relaxed geometry.

Cell lengths 7.759, 7.759, 7.759 Å; angles 90.00, 90.00, 90.00 degrees
Space group Pm-3n (No. 223)
One atom of each set of equivalent atoms:
Na  0.000  0.000  0.000
Te  0.000  0.250  0.500
Au  0.000  0.500  0.250

Formation energy without anion corrections in meV per atom: -139
ΔE to the lowest computed polymorph in meV/atom: 10

[2]
Density functional theory data (GGA-PBE) for crystalline MgAl2P at its relaxed geometry.

Cell lengths 3.4942, 3.4942, 22.2317 Å; angles 90.00, 90.00, 120.00 degrees
Space group R-3m (No. 166, hexagonal axes)
One atom of each set of equivalent atoms:
Mg  0.0000  0.0000  0.0000
Al  0.0000  0.0000  0.2315
P  0.0000  0.0000  0.5000

ΔE to the lowest computed polymorph in meV/atom: 82
E_form in eV/atom: -0.0688

[3]
Density functional theory data (GGA-PBE) for crystalline La2Al3Cu2 at its relaxed geometry.

Cell lengths 11.181, 4.177, 7.447 Å; angles 90.00, 122.72, 90.00 degrees
Space group C2/m (No. 12)
One atom of each set of equivalent atoms:
La  0.127  0.000  0.265
Al  0.000  0.500  0.500
Al  0.153  0.500  0.933
Cu  0.137  0.000  0.697

E_form in eV/atom: -0.3884

[4]
Density functional theory data (GGA-PBE) for crystalline NaTl2PbCl5 at its relaxed geometry.

Cell lengths 4.373, 18.229, 14.259 Å; angles 90.00, 90.00, 90.00 degrees
Space group Cmc2_1 (No. 36)
One atom of each set of equivalent atoms:
Na  0.000  0.036  0.000
Tl  0.000  0.370  0.849
Tl  0.000  0.413  0.214
Pb  0.000  0.280  0.574
Cl  0.000  0.006  0.320
Cl  0.000  0.119  0.541
Cl  0.000  0.191  0.944
Cl  0.000  0.227  0.215
Cl  0.000  0.435  0.604

Formation energy without anion corrections in meV per atom: -1229

[5]
Density functional theory data (GGA-PBE) for crystalline FeRu2Au at its relaxed geometry.

Cell lengths 2.748, 2.748, 7.772 Å; angles 90.00, 90.00, 90.00 degrees
Space group P4mm (No. 99)
One atom of each set of equivalent atoms:
Fe  0.000  0.000  0.000
Ru  0.000  0.000  0.464
Ru  0.500  0.500  0.242
Au  0.500  0.500  0.746

ΔE to the lowest computed polymorph in meV/atom: 0
E_form in eV/atom: 0.2008

[6]
Density functional theory data (GGA-PBE) for crystalline Rb2AgSe2 at its relaxed geometry.

Cell lengths 10.103, 10.103, 3.187 Å; angles 90.00, 90.00, 90.00 degrees
Space group P4/mbm (No. 127)
One atom of each set of equivalent atoms:
Rb  0.130  0.370  0.000
Ag  0.000  0.000  0.000
Se  0.168  0.668  0.500

Formation energy without anion corrections in meV per atom: -241
ΔE to the lowest computed polymorph in meV/atom: 318

[7]
Density functional theory data (GGA-PBE) for crystalline PuUFeTc at its relaxed geometry.

Cell lengths 6.410, 6.410, 6.410 Å; angles 90.00, 90.00, 90.00 degrees
Space group F-43m (No. 216)
One atom of each set of equivalent atoms:
Pu  0.000  0.000  0.000
U  0.250  0.250  0.250
Fe  0.250  0.250  0.750
Tc  0.000  0.000  0.500

ΔE to the lowest computed polymorph in meV/atom: 0
E_form in eV/atom: 0.0401

[8]
Density functional theory data (GGA-PBE) for crystalline SrMo2Br at its relaxed geometry.

Cell lengths 12.857, 3.402, 4.828 Å; angles 90.00, 109.39, 90.00 degrees
Space group C2/m (No. 12)
One atom of each set of equivalent atoms:
Sr  0.000  0.000  0.000
Mo  0.223  0.500  0.816
Br  0.000  0.500  0.500

Formation energy without anion corrections in meV per atom: 331
ΔE to the lowest computed polymorph in meV/atom: 248

[9]
Density functional theory data (GGA-PBE) for crystalline CsRb2GaI6 at its relaxed geometry.

Cell lengths 12.796, 12.796, 12.796 Å; angles 90.00, 90.00, 90.00 degrees
Space group Fm-3m (No. 225)
One atom of each set of equivalent atoms:
Cs  0.000  0.000  0.000
Rb  0.250  0.250  0.250
Ga  0.000  0.000  0.500
I  0.000  0.000  0.280

Formation energy without anion corrections in meV per atom: -964

[10]
Density functional theory data (GGA-PBE) for crystalline Tl3Cd2In3Sn at its relaxed geometry.

Cell lengths 9.3555, 9.3555, 3.3138 Å; angles 90.00, 90.00, 120.00 degrees
Space group P-62m (No. 189)
One atom of each set of equivalent atoms:
Tl  0.0000  0.6847  0.0000
Cd  0.3333  0.6667  0.0000
In  0.0000  0.3586  0.5000
Sn  0.0000  0.0000  0.5000

E_form in eV/atom: 0.0489

[11]
Density functional theory data (GGA-PBE) for crystalline KPrSm2S4 at its relaxed geometry.

Cell lengths 7.150, 4.063, 7.192 Å; angles 90.00, 108.67, 90.00 degrees
Space group P2/m (No. 10)
One atom of each set of equivalent atoms:
K  0.000  0.000  0.000
Pr  0.500  0.500  0.000
Sm  0.000  0.500  0.500
Sm  0.500  0.000  0.500
S  0.251  0.000  0.738
S  0.265  0.500  0.271

Formation energy without anion corrections in meV per atom: -1902

[12]
Density functional theory data (GGA-PBE) for crystalline VIrOs at its relaxed geometry.

Cell lengths 2.734, 14.198, 4.351 Å; angles 90.00, 90.00, 90.00 degrees
Space group Cmcm (No. 63)
One atom of each set of equivalent atoms:
V  0.000  0.107  0.250
Ir  0.000  0.440  0.250
Os  0.000  0.224  0.750

ΔE to the lowest computed polymorph in meV/atom: 0
E_form in eV/atom: -0.2896

Going through the records in order, we get mass density values of 7.087; 2.315; 5.514; 4.769; 12.873; 4.459; 16.039; 5.992; 3.598; 8.602; 5.110; 17.043 g/cm³.